Record 1
Here is a PBEsol-optimized structure of ZnReCl2 from Alexandria. Energies are from meta-GGA SCAN.

abc: 2.9539 2.9539 27.4291
angles: 90.00 90.00 120.00
Closest atoms and distances in Å follow each position.
Positions (direct):
Zn1 0.0000 0.0000 0.0000  6 Zn 2.95, 6 Cl 3.24
Zn2 0.3333 0.6667 0.6667  6 Zn 2.95, 6 Cl 3.24
Zn3 0.6667 0.3333 0.3333  6 Zn 2.95, 6 Cl 3.24
Re1 0.0000 0.0000 0.5000  6 Cl 2.49
Re2 0.3333 0.6667 0.1667  6 Cl 2.49
Re3 0.6667 0.3333 0.8333  6 Cl 2.49
Cl1 0.0000 0.0000 0.2327  3 Re 2.49
Cl2 0.0000 0.0000 0.7673  3 Re 2.49
Cl3 0.3333 0.6667 0.4339  3 Re 2.49
Cl4 0.3333 0.6667 0.8994  3 Re 2.49
Cl5 0.6667 0.3333 0.1006  3 Re 2.49
Cl6 0.6667 0.3333 0.5661  3 Re 2.49

Values from the calculation:
volume = 69.09 Å³/f.u.
calculated total energy = -296.47 eV per cell
mass density = 7.75 g/cm³
crystal system = trigonal
SG = No. 166
N(E_F) = 2.25 states/eV/f.u.

---

Record 2
Here is a PBEsol-optimized structure of RbZr2As3O12 from Alexandria. Energies are from meta-GGA SCAN.

abc: 9.8756 9.8756 9.8756
angles: 54.81 54.81 54.81
Closest atoms and distances in Å follow each position.
Positions (direct):
Rb1 0.0000 0.0000 0.0000  6 O 2.95
Rb2 0.5000 0.5000 0.5000  6 O 2.95
Zr1 0.1486 0.1486 0.1486  6 O 2.07-2.08
Zr2 0.3514 0.3514 0.3514  6 O 2.07-2.08
Zr3 0.6486 0.6486 0.6486  6 O 2.07-2.08
Zr4 0.8514 0.8514 0.8514  6 O 2.07-2.08
As1 0.0308 0.7500 0.4692  4 O 1.70
As2 0.2500 0.5308 0.9692  4 O 1.70
As3 0.4692 0.0308 0.7500  4 O 1.70
As4 0.5308 0.9692 0.2500  4 O 1.70
As5 0.7500 0.4692 0.0308  4 O 1.70
As6 0.9692 0.2500 0.5308  4 O 1.70
O1 0.0118 0.7484 0.6522  1 As 1.70
O2 0.0655 0.7093 0.9320  1 As 1.70
O3 0.0680 0.9345 0.2907  1 As 1.70
O4 0.1522 0.2484 0.5118  1 As 1.70
O5 0.2093 0.5655 0.4320  1 As 1.70
O6 0.2484 0.5118 0.1522  1 As 1.70
O7 0.2516 0.3478 0.9882  1 As 1.70
O8 0.2907 0.0680 0.9345  1 As 1.70
O9 0.3478 0.9882 0.2516  1 As 1.70
O10 0.4320 0.2093 0.5655  1 As 1.70
O11 0.4345 0.5680 0.7907  1 As 1.70
O12 0.4882 0.8478 0.7516  1 As 1.70
O13 0.5118 0.1522 0.2484  1 As 1.70
O14 0.5655 0.4320 0.2093  1 As 1.70
O15 0.5680 0.7907 0.4345  1 As 1.70
O16 0.6522 0.0118 0.7484  1 As 1.70
O17 0.7093 0.9320 0.0655  1 As 1.70
O18 0.7484 0.6522 0.0118  1 As 1.70
O19 0.7516 0.4882 0.8478  1 As 1.70
O20 0.7907 0.4345 0.5680  1 As 1.70
O21 0.8478 0.7516 0.4882  1 As 1.70
O22 0.9320 0.0655 0.7093  1 As 1.70
O23 0.9345 0.2907 0.0680  1 As 1.70
O24 0.9882 0.2516 0.3478  1 As 1.70

Values from the calculation:
volume = 299.39 Å³/f.u.
calculated total energy = -517.57 eV per cell
mass density = 3.80 g/cm³
crystal system = trigonal
SG = No. 167
N(E_F) = 0.00 states/eV/f.u.

---

Record 3
Here is a PBEsol-optimized structure of Ta3TiCu from Alexandria. Energies are from meta-GGA SCAN.

abc: 4.5911 4.5911 4.5911
angles: 90.00 90.00 90.00
Closest atoms and distances in Å follow each position.
Positions (direct):
Ta1 0.0000 0.0000 0.5000  2 Ti 2.30
Ta2 0.0000 0.5000 0.0000  2 Ti 2.30
Ta3 0.5000 0.0000 0.0000  2 Ti 2.30
Ti1 0.0000 0.0000 0.0000  6 Ta 2.30
Cu1 0.5000 0.5000 0.5000  12 Ta 3.25

Values from the calculation:
volume = 96.78 Å³/f.u.
calculated total energy = -222.43 eV per cell
mass density = 11.23 g/cm³
energy relative to the elements = 1.710 eV per atom
crystal system = cubic
SG = No. 221
N(E_F) = 6.89 states/eV/f.u.

---

Record 4
Here is a PBEsol-optimized structure of HfZrHg2 from Alexandria. Energies are from meta-GGA SCAN.

abc: 6.8968 6.8968 6.8968
angles: 90.00 90.00 90.00
Closest atoms and distances in Å follow each position.
Positions (direct):
Hf1 0.0000 0.0000 0.0000  8 Hg 2.99
Hf2 0.0000 0.5000 0.5000  8 Hg 2.99
Hf3 0.5000 0.0000 0.5000  8 Hg 2.99
Hf4 0.5000 0.5000 0.0000  8 Hg 2.99
Zr1 0.0000 0.0000 0.5000  8 Hg 2.99
Zr2 0.0000 0.5000 0.0000  8 Hg 2.99
Zr3 0.5000 0.0000 0.0000  8 Hg 2.99
Zr4 0.5000 0.5000 0.5000  8 Hg 2.99
Hg1 0.2500 0.2500 0.2500  4 Zr 2.99, 4 Hf 2.99
Hg2 0.2500 0.2500 0.7500  4 Zr 2.99, 4 Hf 2.99
Hg3 0.2500 0.7500 0.2500  4 Zr 2.99, 4 Hf 2.99
Hg4 0.2500 0.7500 0.7500  4 Zr 2.99, 4 Hf 2.99
Hg5 0.7500 0.2500 0.2500  4 Zr 2.99, 4 Hf 2.99
Hg6 0.7500 0.2500 0.7500  4 Zr 2.99, 4 Hf 2.99
Hg7 0.7500 0.7500 0.2500  4 Zr 2.99, 4 Hf 2.99
Hg8 0.7500 0.7500 0.7500  4 Zr 2.99, 4 Hf 2.99

Values from the calculation:
volume = 82.01 Å³/f.u.
calculated total energy = -922.67 eV per cell
mass density = 13.58 g/cm³
energy relative to the elements = -0.241 eV per atom
crystal system = cubic
SG = No. 225
N(E_F) = 1.39 states/eV/f.u.

---

Record 5
Here is a PBEsol-optimized structure of Hf3SbPt from Alexandria. Energies are from meta-GGA SCAN.

abc: 5.0025 5.0025 5.0025
angles: 90.00 90.00 90.00
Closest atoms and distances in Å follow each position.
Positions (direct):
Hf1 0.0000 0.0000 0.5000  2 Pt 2.50
Hf2 0.0000 0.5000 0.0000  2 Pt 2.50
Hf3 0.5000 0.0000 0.0000  2 Pt 2.50
Sb1 0.5000 0.5000 0.5000  12 Hf 3.54
Pt1 0.0000 0.0000 0.0000  6 Hf 2.50

Values from the calculation:
volume = 125.19 Å³/f.u.
calculated total energy = -296.19 eV per cell
mass density = 11.31 g/cm³
crystal system = cubic
SG = No. 221
N(E_F) = 3.03 states/eV/f.u.

---

Record 6
Here is a PBEsol-optimized structure of Cd3Pt from Alexandria. Energies are from meta-GGA SCAN.

abc: 4.1594 4.1594 16.6421
angles: 90.00 90.00 90.00
Closest atoms and distances in Å follow each position.
Positions (direct):
Cd1 0.0000 0.0000 0.1244  8 Cd 2.93-2.95, 4 Pt 2.94
Cd2 0.0000 0.0000 0.8756  8 Cd 2.93-2.95, 4 Pt 2.94
Cd3 0.0000 0.5000 0.0000  8 Cd 2.93-2.94, 4 Pt 2.95
Cd4 0.0000 0.5000 0.2500  4 Pt 2.93, 8 Cd 2.94-2.95
Cd5 0.0000 0.5000 0.5000  8 Cd 2.93-2.94, 4 Pt 2.95
Cd6 0.0000 0.5000 0.7500  4 Pt 2.93, 8 Cd 2.94-2.95
Cd7 0.5000 0.0000 0.0000  8 Cd 2.93-2.94, 4 Pt 2.95
Cd8 0.5000 0.0000 0.2500  4 Pt 2.93, 8 Cd 2.94-2.95
Cd9 0.5000 0.0000 0.5000  8 Cd 2.93-2.94, 4 Pt 2.95
Cd10 0.5000 0.0000 0.7500  4 Pt 2.93, 8 Cd 2.94-2.95
Cd11 0.5000 0.5000 0.3756  8 Cd 2.93-2.95, 4 Pt 2.94
Cd12 0.5000 0.5000 0.6244  8 Cd 2.93-2.95, 4 Pt 2.94
Pt1 0.0000 0.0000 0.3739  12 Cd 2.93-2.95
Pt2 0.0000 0.0000 0.6261  12 Cd 2.93-2.95
Pt3 0.5000 0.5000 0.1261  12 Cd 2.93-2.95
Pt4 0.5000 0.5000 0.8739  12 Cd 2.93-2.95

Values from the calculation:
volume = 71.98 Å³/f.u.
calculated total energy = -649.38 eV per cell
mass density = 12.28 g/cm³
energy relative to the elements = -0.227 eV per atom
crystal system = tetragonal
SG = No. 139
N(E_F) = 1.13 states/eV/f.u.